PrErCo10 | PBE | relaxed

```
PrErCo10
1.0
3.9465 0.0000 0.0000
0.0000 4.9488 0.0000
0.0000 0.0000 8.6306
Co Er Pr
10 1 1
direct
0.5000 0.0000 0.5000 Co
0.5000 0.2457 0.2437 Co
0.5000 0.7543 0.7563 Co
0.5000 0.7543 0.2437 Co
0.0000 0.0000 0.6778 Co
0.0000 0.5000 0.1604 Co
0.5000 0.2457 0.7563 Co
0.0000 0.0000 0.3222 Co
0.5000 0.5000 0.0000 Co
0.0000 0.5000 0.8396 Co
0.0000 0.0000 0.0000 Er
0.0000 0.5000 0.5000 Pr
```

Computed properties:
ΔE_f: -69 meV/atom
SG: Pmmm, No. 47
magnetic moment: 14.24 μB/cell

=====

PrErCo17 | PBE | relaxed

```
PrErCo17
1.0
6.2864 0.0111 0.0100
0.7475 6.2418 0.0100
0.7475 0.6645 6.2064
Co Pr Er
17 1 1
direct
0.4994 0.0021 0.0021 Co
0.2867 0.7129 0.0015 Co
0.7129 0.2867 0.0015 Co
0.7129 0.0015 0.2867 Co
0.2867 0.0015 0.7129 Co
0.8509 0.3433 0.3433 Co
0.0021 0.4994 0.0021 Co
0.0015 0.7129 0.2867 Co
0.6541 0.6541 0.1494 Co
0.0971 0.0971 0.0971 Co
0.0021 0.0021 0.4994 Co
0.0015 0.2867 0.7129 Co
0.6541 0.1494 0.6541 Co
0.1494 0.6541 0.6541 Co
0.3433 0.8509 0.3433 Co
0.9047 0.9047 0.9047 Co
0.3433 0.3433 0.8509 Co
0.6543 0.6543 0.6543 Pr
0.3430 0.3430 0.3430 Er
```

Computed properties:
ΔE_f: -72 meV/atom
SG: R3m, No. 160
magnetic moment: 25.06 μB/cell

=====

PrEr3Co | PBE | relaxed

```
PrEr3Co
1.0
6.4282 0.0000 0.0000
0.0000 9.3178 0.5581
0.0000 -2.3466 9.4049
Co Er Pr
4 12 4
direct
0.2351 0.9292 0.0703 Co
0.7351 0.0708 0.4297 Co
0.2649 0.9292 0.5703 Co
0.7649 0.0708 0.9297 Co
0.9103 0.0550 0.6747 Er
0.0897 0.9450 0.3253 Er
0.5897 0.0550 0.1747 Er
0.4158 0.6801 0.0543 Er
0.4103 0.9450 0.8253 Er
0.9192 0.8077 0.9244 Er
0.4192 0.1923 0.5756 Er
0.0842 0.6801 0.5543 Er
0.9158 0.3199 0.4457 Er
0.5808 0.8077 0.4244 Er
0.5842 0.3199 0.9457 Er
0.0808 0.1923 0.0756 Er
0.5760 0.5683 0.6833 Pr
0.4240 0.4317 0.3167 Pr
0.9240 0.5683 0.1833 Pr
0.0760 0.4317 0.8167 Pr
```

Computed properties:
ΔE_f: -73 meV/atom
SG: P2_1/c, No. 14
magnetic moment: 0.00 μB/cell

=====

Pr2ErCo | PBE | relaxed

```
Pr2ErCo
1.0
3.6664 0.0000 0.0000
1.8332 3.1752 0.0000
1.8332 1.0584 10.4990
Co Pr Er
1 2 1
direct
0.5000 0.5000 0.5000 Co
0.1113 0.1113 0.6662 Pr
0.8887 0.8887 0.3338 Pr
0.0000 0.0000 0.0000 Er
```

Computed properties:
ΔE_f: 264 meV/atom
SG: R-3m, No. 166
magnetic moment: 0.00 μB/cell

=====

PrErCoRu | PBE | relaxed

```
PrErCoRu
1.0
4.8507 0.0000 0.0000
2.4254 4.2009 0.0000
2.4254 1.4003 3.9606
Co Ru Pr Er
1 1 1 1
direct
0.5000 0.5000 0.5000 Co
0.0000 0.0000 0.0000 Ru
0.7500 0.7500 0.7500 Pr
0.2500 0.2500 0.2500 Er
```

Computed properties:
ΔE_f: -98 meV/atom
SG: F-43m, No. 216
magnetic moment: 0.00 μB/cell

=====

PrErZnCo | PBE | relaxed

```
PrErZnCo
1.0
4.9612 0.0000 0.0000
2.4806 4.2965 0.0000
2.4806 1.4322 4.0508
Pr Zn Er Co
1 1 1 1
direct
0.2500 0.2500 0.2500 Pr
0.0000 0.0000 0.0000 Zn
0.7500 0.7500 0.7500 Er
0.5000 0.5000 0.5000 Co
```

Computed properties:
ΔE_f: -153 meV/atom
SG: F-43m, No. 216
magnetic moment: 0.00 μB/cell

=====

Copy entry 2 word for word.
PrErCo17 | PBE | relaxed

```
PrErCo17
1.0
6.2864 0.0111 0.0100
0.7475 6.2418 0.0100
0.7475 0.6645 6.2064
Co Pr Er
17 1 1
direct
0.4994 0.0021 0.0021 Co
0.2867 0.7129 0.0015 Co
0.7129 0.2867 0.0015 Co
0.7129 0.0015 0.2867 Co
0.2867 0.0015 0.7129 Co
0.8509 0.3433 0.3433 Co
0.0021 0.4994 0.0021 Co
0.0015 0.7129 0.2867 Co
0.6541 0.6541 0.1494 Co
0.0971 0.0971 0.0971 Co
0.0021 0.0021 0.4994 Co
0.0015 0.2867 0.7129 Co
0.6541 0.1494 0.6541 Co
0.1494 0.6541 0.6541 Co
0.3433 0.8509 0.3433 Co
0.9047 0.9047 0.9047 Co
0.3433 0.3433 0.8509 Co
0.6543 0.6543 0.6543 Pr
0.3430 0.3430 0.3430 Er
```

Computed properties:
ΔE_f: -72 meV/atom
SG: R3m, No. 160
magnetic moment: 25.06 μB/cell

=====

- Among the records above, which one has the highest magnetic moment?
  PrErCo17